Model A:
The following is a PBE calculation of a geometry-optimized CaPdAu2 structure, from the Alexandria database.

Cell lengths 4.2199, 4.2441, 4.2441 Å; angles 90.00, 90.00, 90.00 degrees
Closest atoms and distances in Å follow each position.
Fractional coordinates of all 4 atoms:
Au 0.0000 0.0000 0.5000  4 Pd 2.99, 4 Ca 2.99, 4 Au 3.00
Au 0.0000 0.5000 0.0000  4 Pd 2.99, 4 Ca 2.99, 4 Au 3.00
Pd 0.5000 0.5000 0.5000  8 Au 2.99, 4 Ca 3.00
Ca 0.5000 0.0000 0.0000  8 Au 2.99, 4 Pd 3.00

D(E_F) = 1.0 states/eV/f.u.
Mass density = 11.81 g/cm³
Space-group type = P4/mmm, No. 123

=====

Model B:
The following is a PBE calculation of a geometry-optimized CaPdAu2 structure, from the Alexandria database.

Cell lengths 4.0450, 4.0450, 10.5546 Å; angles 78.95, 78.95, 90.00 degrees
Closest atoms and distances in Å follow each position.
Fractional coordinates of all 8 atoms:
Au 0.3750 0.3608 0.7500  4 Au 2.78-2.94, 2 Pd 2.90, 2 Ca 2.94
Au 0.6392 0.1250 0.2500  4 Au 2.78-2.94, 2 Pd 2.90, 2 Ca 2.94
Au 0.8750 0.8892 0.7500  4 Au 2.78-2.94, 2 Pd 2.90, 2 Ca 2.94
Au 0.1108 0.6250 0.2500  4 Au 2.78-2.94, 2 Pd 2.90, 2 Ca 2.94
Pd 0.0000 0.0000 0.0000  4 Ca 2.86, 4 Au 2.90
Pd 0.7500 0.2500 0.5000  4 Ca 2.86, 4 Au 2.90
Ca 0.2500 0.7500 0.5000  4 Pd 2.86, 4 Au 2.94
Ca 0.5000 0.5000 0.0000  4 Pd 2.86, 4 Au 2.94

D(E_F) = 1.3 states/eV/f.u.
Mass density = 10.80 g/cm³
Space-group type = I-42d, No. 122

=====

Model C:
The following is a PBE calculation of a geometry-optimized CaPdAu2 structure, from the Alexandria database.

Cell lengths 4.6628, 4.6628, 5.2507 Å; angles 63.64, 63.64, 60.00 degrees
Closest atoms and distances in Å follow each position.
Fractional coordinates of all 4 atoms:
Pd 0.5000 0.5000 0.5000  6 Au 2.78
Au 0.2180 0.2180 0.3461  3 Pd 2.78, 4 Ca 2.95-3.11, 3 Au 3.03
Au 0.7820 0.7820 0.6539  3 Pd 2.78, 4 Ca 2.95-3.11, 3 Au 3.03
Ca 0.0000 0.0000 0.0000  8 Au 2.95-3.11

D(E_F) = 1.7 states/eV/f.u.
Mass density = 10.57 g/cm³
Space-group type = R-3m, No. 166

=====

Most stable structure among those shown: model A.